This record from Alexandria via LeMat-Bulk describes crystalline KNa2Ca at its relaxed geometry. The functional is PBE.

energy of formation from the pure elements: 69 meV per atom
polymorph energy (0 for the lowest one): 0 meV/atom
N(E_F): 3.71 states/eV per cell
energy: -1.37 eV per atom
SG: P4/mmm
M_tot: 0.0 Bohr magnetons per cell

Cell lengths 4.271, 4.271, 9.881 Å; angles 90.00, 90.00, 90.00 degrees
Fractional coordinates of all 4 atoms:
Na  0.000  0.000  0.777
Na  0.000  0.000  0.223
Ca  0.500  0.500  0.000
K  0.500  0.500  0.500

This record from Alexandria via LeMat-Bulk describes crystalline Sr2CdCo2 at its relaxed geometry. The functional is PBE.

energy of formation from the pure elements: 403 meV per atom
N(E_F): 8.34 states/eV per cell
energy: -3.30 eV per atom
SG: I4/mmm
M_tot: 2.5 Bohr magnetons per cell

Cell lengths 5.934, 5.934, 5.672 Å; angles 58.45, 58.45, 90.00 degrees
Site moments in Bohr magnetons follow the coordinates.
Fractional coordinates of all 5 atoms:
Sr  0.750  0.250  0.500  -0.06
Sr  0.250  0.750  0.500  -0.06
Co  0.356  0.356  0.287  1.50
Co  0.644  0.644  0.713  1.50
Cd  0.000  0.000  0.000  -0.02